*a*
# ThCdInHg

An optimized crystal structure of ThCdInHg (PBE-GGA, Alexandria via LeMat-Bulk).

Cell: 3.273 5.851 5.867 Å, 90.00 90.00 90.00°
Atoms (fractional coordinates):
1 Th 0.000 0.000 0.000
2 Cd 0.500 0.500 0.500
3 In 0.500 0.000 0.500
4 Hg 0.500 0.500 0.000

Properties
As for the density of states at the Fermi level: 3.9 states/eV/f.u. Its space group is No. 47.


*b*
# ThCdInHg

An optimized crystal structure of ThCdInHg (PBE-GGA, Alexandria via LeMat-Bulk).

Cell: 5.268 5.268 5.268 Å, 60.00 60.00 60.00°
Atoms (fractional coordinates):
1 Th 0.000 0.000 0.000
2 Cd 0.500 0.500 0.500
3 In 0.750 0.750 0.750
4 Hg 0.250 0.250 0.250

Properties
As for the density of states at the Fermi level: 4.3 states/eV/f.u. Its space group is No. 216.


Which of them is most stable? Easy: *b*.


*a*
# TmCdInHg

An optimized crystal structure of TmCdInHg (PBE-GGA, Alexandria via LeMat-Bulk).

Cell: 5.131 5.131 5.131 Å, 60.00 60.00 60.00°
Atoms (fractional coordinates):
1 Tm 0.000 0.000 0.000
2 Cd 0.500 0.500 0.500
3 In 0.750 0.750 0.750
4 Hg 0.250 0.250 0.250

Properties
As for the density of states at the Fermi level: 1.1 states/eV/f.u. Its space group is No. 216.


*b*
# TmCdInHg

An optimized crystal structure of TmCdInHg (PBE-GGA, Alexandria via LeMat-Bulk).

Cell: 4.236 4.736 4.749 Å, 90.00 90.00 90.00°
Atoms (fractional coordinates):
1 Tm 0.000 0.000 0.000
2 Cd 0.000 0.500 0.500
3 In 0.500 0.000 0.500
4 Hg 0.500 0.500 0.000

Properties
As for the density of states at the Fermi level: 2.0 states/eV/f.u. Its space group is No. 47.


Which of them is most stable? Easy: *b*.